Computed, not measured: a geometry-optimized Li7SbSe6 structure at the GGA-PBE level of DFT.

abc: 7.371 7.371 7.642
angles: 61.17 61.17 60.00
Fractional coordinates of all 14 atoms:
1 Li 0.943 0.212 0.348
2 Li 0.659 0.659 0.024
3 Li 0.116 0.750 0.663
4 Li 0.497 0.943 0.348
5 Li 0.471 0.116 0.663
6 Li 0.750 0.471 0.663
7 Li 0.212 0.497 0.348
8 Se 0.635 0.247 0.251
9 Se 0.867 0.635 0.251
10 Se 0.247 0.867 0.251
11 Se 0.076 0.382 0.759
12 Se 0.382 0.783 0.759
13 Se 0.783 0.076 0.759
14 Sb 0.998 0.998 0.007

Summary:
The space group is R3 (146). The total magnetization comes out at 0.0 μB per cell. For the energy relative to the elements, uncorrected, the calculation gives -12.41 eV/f.u.

Computed, not measured: a geometry-optimized Tb5CeHg4 structure at the GGA-PBE level of DFT.

abc: 3.694 3.694 19.715
angles: 90.00 90.00 90.00
Each line ends with the local moment (μB).
Fractional coordinates of all 10 atoms:
1 Hg 0.000 0.000 0.209  0.00
2 Hg 0.000 0.000 0.596  0.01
3 Hg 0.000 0.000 0.404  0.01
4 Hg 0.000 0.000 0.791  0.00
5 Tb 0.500 0.500 0.885  0.00
6 Tb 0.500 0.500 0.500  0.08
7 Tb 0.500 0.500 0.692  0.07
8 Tb 0.500 0.500 0.308  0.07
9 Tb 0.500 0.500 0.115  0.00
10 Ce 0.000 0.000 0.000  0.31

Summary:
The space group is P4/mmm (123). The total magnetization comes out at 0.7 μB per cell.

Computed, not measured: a geometry-optimized TcPRu structure at the GGA-PBE level of DFT.

abc: 6.449 6.147 2.834
angles: 83.03 71.11 25.86
Fractional coordinates of all 3 atoms:
1 P 0.001 0.001 0.999
2 Tc 0.349 0.349 0.651
3 Ru 0.650 0.650 0.350

Summary:
The space group is Fmm2 (42). The total magnetization comes out at 0.0 μB per cell. The distance to the lowest polymorph of the same formula is 0.468 eV/atom.

Computed, not measured: a geometry-optimized CaAg6F12 structure at the GGA-PBE level of DFT.

abc: 6.872 6.872 6.872
angles: 101.20 101.20 101.20
Each line ends with the local moment (μB).
Fractional coordinates of all 19 atoms:
1 Ag 0.697 0.393 0.859  0.42
2 Ag 0.141 0.303 0.607  0.42
3 Ag 0.607 0.141 0.303  0.42
4 Ag 0.393 0.859 0.697  0.42
5 Ag 0.303 0.607 0.141  0.42
6 Ag 0.859 0.697 0.393  0.42
7 F 0.174 0.626 0.417  0.18
8 F 0.374 0.583 0.826  0.18
9 F 0.678 0.035 0.908  0.09
10 F 0.583 0.826 0.374  0.18
11 F 0.626 0.417 0.174  0.18
12 F 0.965 0.092 0.322  0.09
13 F 0.035 0.908 0.678  0.09
14 F 0.908 0.678 0.035  0.09
15 F 0.417 0.174 0.626  0.18
16 F 0.092 0.322 0.965  0.09
17 F 0.826 0.374 0.583  0.18
18 F 0.322 0.965 0.092  0.09
19 Ca 0.000 0.000 0.000  0.01

Summary:
The space group is R-3 (148). The total magnetization comes out at 4.2 μB per cell. For the energy relative to the elements, uncorrected, the calculation gives -29.08 eV/f.u.

Computed, not measured: a geometry-optimized CeScCo structure at the GGA-PBE level of DFT.

abc: 5.852 6.362 7.251
angles: 86.21 90.00 90.00
Fractional coordinates of all 12 atoms:
1 Ce 0.138 0.716 0.375
2 Ce 0.638 0.784 0.125
3 Ce 0.862 0.284 0.625
4 Ce 0.362 0.216 0.875
5 Co 0.831 0.039 0.875
6 Co 0.331 0.461 0.625
7 Co 0.669 0.539 0.375
8 Co 0.169 0.961 0.125
9 Sc 0.885 0.290 0.143
10 Sc 0.115 0.710 0.857
11 Sc 0.385 0.210 0.357
12 Sc 0.615 0.790 0.643

Summary:
The space group is P2_1/c (14). The total magnetization comes out at 0.0 μB per cell. The distance to the lowest polymorph of the same formula is 0.112 eV/atom.

Computed, not measured: a geometry-optimized ZrAl2Ru2 structure at the GGA-PBE level of DFT.

abc: 3.551 3.551 7.032
angles: 75.38 75.38 90.00
Fractional coordinates of all 5 atoms:
1 Ru 0.609 0.609 0.781
2 Ru 0.391 0.391 0.219
3 Al 0.250 0.750 0.500
4 Al 0.750 0.250 0.500
5 Zr 0.000 0.000 0.000

Summary:
The space group is I4/mmm (139). The total magnetization comes out at 0.0 μB per cell. The distance to the lowest polymorph of the same formula is 0.168 eV/atom.

| no. | total DFT energy (no corrections) (eV per atom) | N(E_F) (states/eV/atom) |
| --- | --- | --- |
| 1 | -3.631 | 0.082 |
| 2 | -3.393 | 1.225 |
| 3 | -8.173 | 1.093 |
| 4 | -3.718 | 0.424 |
| 5 | -6.632 | 1.391 |
| 6 | -7.313 | 0.217 |